# 1
A plane-wave DFT calculation with PBE-GGA was carried out for crystalline Gd3Ni at its relaxed geometry.

Computed properties:
Total moment   5.74 μB/atom
Energy relative to the elements   0.118 eV per atom
E   -11.89 eV per atom

abc: 4.682 4.682 4.682
angles: 90.00 90.00 90.00
Space group Pm-3m (No. 221)
Symmetry-distinct sites (fractional):
Gd  0.000  0.000  0.500 [3 per cell]
Ni  0.500  0.500  0.500 [1 per cell]


# 2
A plane-wave DFT calculation with PBE-GGA was carried out for crystalline AcPmPr4 at its relaxed geometry.

Computed properties:
Total moment   0.00 μB/atom
Distance to the lowest polymorph of the same formula   0.014 eV per atom
Energy relative to the elements   0.054 eV per atom
E   -4.61 eV per atom

abc: 7.354 20.449 6.983
angles: 90.00 121.49 90.00
Space group C2/c (No. 15)
Symmetry-distinct sites (fractional):
Ac  0.000  0.213  0.250 [4 per cell]
Pm  0.000  0.283  0.750 [4 per cell]
Pr  0.246  0.376  0.240 [8 per cell]
Pr  0.248  0.454  0.747 [8 per cell]


Copy entry 2 word for word.
A plane-wave DFT calculation with PBE-GGA was carried out for crystalline AcPmPr4 at its relaxed geometry.

Computed properties:
Total moment   0.00 μB/atom
Distance to the lowest polymorph of the same formula   0.014 eV per atom
Energy relative to the elements   0.054 eV per atom
E   -4.61 eV per atom

abc: 7.354 20.449 6.983
angles: 90.00 121.49 90.00
Space group C2/c (No. 15)
Symmetry-distinct sites (fractional):
Ac  0.000  0.213  0.250 [4 per cell]
Pm  0.000  0.283  0.750 [4 per cell]
Pr  0.246  0.376  0.240 [8 per cell]
Pr  0.248  0.454  0.747 [8 per cell]


- The highest energy relative to the elements belongs to which entry?
  Gd3Ni


Copy entry 1 word for word.
A plane-wave DFT calculation with PBE-GGA was carried out for crystalline Gd3Ni at its relaxed geometry.

Computed properties:
Total moment   5.74 μB/atom
Energy relative to the elements   0.118 eV per atom
E   -11.89 eV per atom

abc: 4.682 4.682 4.682
angles: 90.00 90.00 90.00
Space group Pm-3m (No. 221)
Symmetry-distinct sites (fractional):
Gd  0.000  0.000  0.500 [3 per cell]
Ni  0.500  0.500  0.500 [1 per cell]


- E of number 2 (AcPmPr4)?
  -4.61 eV per atom